{"formula": "SmIn3I6", "functional": "PBE-GGA", "state": "relaxed", "lattice_angstrom": [[8.1473, 0.0000, 0.0000], [0.0000, 9.2215, 0.0000], [-7.1721, 0.0000, 11.9361]], "species": ["Sm", "Sm", "In", "In", "In", "In", "In", "In", "I", "I", "I", "I", "I", "I", "I", "I", "I", "I", "I", "I"], "frac_coords": [[0.0000, 0.0000, 0.0000], [0.0000, 0.5000, 0.5000], [0.3158, 0.0998, 0.7837], [0.3158, 0.4002, 0.2837], [0.5000, 0.0000, 0.5000], [0.5000, 0.5000, 0.0000], [0.6842, 0.5998, 0.7163], [0.6842, 0.9002, 0.2163], [0.0874, 0.0622, 0.2404], [0.0874, 0.4378, 0.7404], [0.2402, 0.7166, 0.0826], [0.2402, 0.7834, 0.5826], [0.3648, 0.1677, 0.0485], [0.3648, 0.3323, 0.5485], [0.6352, 0.6677, 0.4515], [0.6352, 0.8323, 0.9515], [0.7598, 0.2166, 0.4174], [0.7598, 0.2834, 0.9174], [0.9126, 0.5622, 0.2596], [0.9126, 0.9378, 0.7596]], "energy_ev_per_atom": -3.057, "m_tot_mub_per_cell": 0.00, "density_g_cm3": 4.65}

---

{"formula": "Pr3SmSc3", "functional": "PBE-GGA", "state": "relaxed", "lattice_angstrom": [[4.2340, 2.4445, 7.1918], [-4.2340, 2.4445, 7.1918], [0.0000, -4.8890, 7.1918]], "species": ["Pr", "Pr", "Pr", "Pr", "Pr", "Pr", "Sm", "Sm", "Sc", "Sc", "Sc", "Sc", "Sc", "Sc"], "frac_coords": [[0.0659, 0.5746, 0.2136], [0.2136, 0.0659, 0.5746], [0.4254, 0.7864, 0.9341], [0.5746, 0.2136, 0.0659], [0.7864, 0.9341, 0.4254], [0.9341, 0.4254, 0.7864], [0.1567, 0.1567, 0.1567], [0.8433, 0.8433, 0.8433], [0.2256, 0.6674, 0.4397], [0.3326, 0.5603, 0.7744], [0.4397, 0.2256, 0.6674], [0.5603, 0.7744, 0.3326], [0.6674, 0.4397, 0.2256], [0.7744, 0.3326, 0.5603]], "energy_ev_per_atom": -5.258, "m_tot_mub_per_cell": 0.00, "density_g_cm3": 5.26, "formation_energy_ev_per_atom": 0.178}